(1)
Computed, not measured: KCaAs after structural relaxation at the PBE-GGA level of DFT.

Lattice parameters (Å, degrees): 4.8853 4.8853 5.4686 90.00 90.00 120.00
Atoms (fractional coordinates):
As 0.0000 0.0000 0.0992
Ca 0.6667 0.3333 0.1881
K 0.3333 0.6667 0.7127

**Density of states at the Fermi level**: 0.68 states/eV per cell
**Crystal system**: trigonal
**Total energy**: -9.61 eV per cell
**E_form**: -0.620 eV per atom


(2)
Computed, not measured: HfCo2NiC after structural relaxation at the PBE-GGA level of DFT.

Lattice parameters (Å, degrees): 3.8522 3.8522 3.8637 90.00 90.00 90.00
Each line ends with the local moment (μB).
Atoms (fractional coordinates):
Ni 0.0000 0.0000 0.5000  0.05
C 0.0000 0.0000 0.0000  0.03
Hf 0.5000 0.5000 0.5000  -0.09
Co 0.0000 0.5000 0.0000  0.65
Co 0.5000 0.0000 0.0000  0.65

**Density of states at the Fermi level**: 3.24 states/eV per cell
**Crystal system**: tetragonal
**Total energy**: -40.13 eV per cell
**E_form**: -0.192 eV per atom


(3)
Computed, not measured: BaBe3B after structural relaxation at the PBE-GGA level of DFT.

Lattice parameters (Å, degrees): 5.7357 5.7357 5.7357 90.00 90.00 90.00
Each line ends with the local moment (μB).
Atoms (fractional coordinates):
Be 0.0000 0.5000 0.0000  0.04
Be 0.0000 0.0000 0.5000  0.02
Be 0.5000 0.0000 0.0000  0.09
B 0.5000 0.5000 0.5000  0.19
Ba 0.0000 0.0000 0.0000  0.14

**Density of states at the Fermi level**: 13.79 states/eV per cell
**Crystal system**: cubic
**Total energy**: -4.52 eV per cell
**Relative energy among the computed polymorphs**: 2.328 eV per atom
**E_form**: 3.052 eV per atom


(4)
Computed, not measured: K3CdRe2O8 after structural relaxation at the PBE-GGA level of DFT.

Lattice parameters (Å, degrees): 6.1408 6.1408 9.8953 90.00 90.00 120.00
Each line ends with the local moment (μB).
Atoms (fractional coordinates):
K 0.3333 0.6667 0.7147  0.00
K 0.6667 0.3333 0.2853  0.00
K 0.0000 0.0000 0.0000  0.00
Cd 0.0000 0.0000 0.5000  0.01
Re 0.3333 0.6667 0.1572  0.30
Re 0.6667 0.3333 0.8428  0.30
O 0.3333 0.6667 0.9774  0.02
O 0.6667 0.3333 0.0226  0.02
O 0.1765 0.8235 0.2196  0.03
O 0.8235 0.1765 0.7804  0.03
O 0.1765 0.3531 0.2196  0.03
O 0.8235 0.6469 0.7804  0.03
O 0.6469 0.8235 0.2196  0.03
O 0.3531 0.1765 0.7804  0.03

**Density of states at the Fermi level**: 7.51 states/eV per cell
**Crystal system**: trigonal
**Total energy**: -90.94 eV per cell
**Formation energy without anion corrections**: -36.5 kcal/mol of atoms


(5)
Computed, not measured: SiTe2Au after structural relaxation at the PBE-GGA level of DFT.

Lattice parameters (Å, degrees): 3.9652 7.3410 3.8780 90.00 90.00 90.00
Atoms (fractional coordinates):
Au 0.5000 0.0000 0.5000
Si 0.0000 0.5000 0.5000
Te 0.0000 0.0000 0.0000
Te 0.5000 0.5000 0.0000

**Density of states at the Fermi level**: 1.44 states/eV per cell
**Crystal system**: orthorhombic
**Total energy**: -13.44 eV per cell
**Formation energy without anion corrections**: 8.9 kcal/mol of atoms


(6)
Computed, not measured: Li3ZnAg2Au3 after structural relaxation at the PBE-GGA level of DFT.

Lattice parameters (Å, degrees): 2.8211 7.8554 7.8554 120.00 90.00 90.00
Atoms (fractional coordinates):
Li 0.0000 0.6307 0.6307
Li 0.0000 0.0000 0.3693
Li 0.0000 0.3693 0.0000
Zn 0.0000 0.0000 0.0000
Ag 0.5000 0.6667 0.3333
Ag 0.5000 0.3333 0.6667
Au 0.5000 0.7103 0.0000
Au 0.5000 0.0000 0.7103
Au 0.5000 0.2897 0.2897

**Density of states at the Fermi level**: 2.57 states/eV per cell
**Crystal system**: hexagonal
**Total energy**: -25.45 eV per cell
**E_form**: -0.322 eV per atom


(7)
Computed, not measured: LiZr2AgBi after structural relaxation at the PBE-GGA level of DFT.

Lattice parameters (Å, degrees): 5.2372 4.5511 5.2372 90.00 90.00 90.00
Atoms (fractional coordinates):
Zr 0.0000 0.0000 0.5000
Zr 0.5000 0.0000 0.0000
Bi 0.5000 0.5000 0.5000
Ag 0.0000 0.0000 0.0000
Li 0.0000 0.5000 0.0000

**Density of states at the Fermi level**: 5.61 states/eV per cell
**Crystal system**: tetragonal
**Total energy**: -23.69 eV per cell
**E_form**: 0.410 eV per atom


(8)
Computed, not measured: RbCO2F after structural relaxation at the PBE-GGA level of DFT.

Lattice parameters (Å, degrees): 2.6489 7.6970 8.0582 93.23 90.00 99.91
Each line ends with the local moment (μB).
Atoms (fractional coordinates):
Rb 0.3421 0.6841 0.1562  0.00
Rb 0.6579 0.3159 0.8438  0.00
C 0.0795 0.1589 0.3586  0.00
C 0.9205 0.8411 0.6414  0.00
O 0.3885 0.7771 0.5568  0.00
O 0.6115 0.2229 0.4432  0.00
O 0.9760 0.9521 0.7512  0.00
O 0.0240 0.0479 0.2488  0.00
F 0.6975 0.3950 0.1552  0.06
F 0.3025 0.6050 0.8448  0.06

**Density of states at the Fermi level**: 2.31 states/eV per cell
**Crystal system**: monoclinic
**Total energy**: -54.69 eV per cell
**Formation energy without anion corrections**: -24.7 kcal/mol of atoms